Arrangement one

Entry from Alexandria: a relaxed CeNd2Ru2 crystal (PBE-GGA). Values from VASP.

The structure in Quantum ESPRESSO input format:
```
&SYSTEM
  ibrav = 0, nat = 10, ntyp = 3
/
ATOMIC_SPECIES
Nd 144.24 Nd.upf
Ru 101.07 Ru.upf
Ce 140.12 Ce.upf
ATOMIC_POSITIONS crystal
Nd 0.531 0.622 0.316
Nd 0.469 0.378 0.684
Nd 0.665 0.740 0.930
Nd 0.335 0.260 0.070
Ru 0.983 0.898 0.137
Ru 0.869 0.702 0.559
Ru 0.131 0.298 0.441
Ru 0.017 0.102 0.863
Ce 0.213 0.922 0.651
Ce 0.787 0.078 0.349
CELL_PARAMETERS angstrom
3.905 0.000 0.000
1.952 6.549 -0.347
1.952 0.350 9.763
```

=====

Arrangement two

Entry from Alexandria: a relaxed CeNd2Ru2 crystal (PBE-GGA). Values from VASP.

The structure in Quantum ESPRESSO input format:
```
&SYSTEM
  ibrav = 0, nat = 10, ntyp = 3
/
ATOMIC_SPECIES
Ru 101.07 Ru.upf
Nd 144.24 Nd.upf
Ce 140.12 Ce.upf
ATOMIC_POSITIONS crystal
Ru 0.737 0.001 0.514
Ru 0.001 0.737 0.014
Ru 0.999 0.263 0.986
Ru 0.263 0.999 0.486
Nd 0.223 0.472 0.652
Nd 0.777 0.528 0.348
Nd 0.528 0.777 0.848
Nd 0.472 0.223 0.152
Ce 0.123 0.877 0.250
Ce 0.877 0.123 0.750
CELL_PARAMETERS angstrom
-1.285 -5.757 0.820
3.528 -4.113 -2.471
4.751 -1.446 6.225
```

=====

Stability ranking, top entry: arrangement two; the second entry is 50 meV/atom less favorable.

=====

Arrangement one

Entry from Alexandria: a relaxed Ce2Nd3Ru4 crystal (PBE-GGA). Values from VASP.

The structure in Quantum ESPRESSO input format:
```
&SYSTEM
  ibrav = 0, nat = 9, ntyp = 3
/
ATOMIC_SPECIES
Ru 101.07 Ru.upf
Nd 144.24 Nd.upf
Ce 140.12 Ce.upf
ATOMIC_POSITIONS crystal
Ru 0.092 0.183 0.631
Ru 0.716 0.432 0.098
Ru 0.284 0.568 0.902
Ru 0.908 0.817 0.369
Nd 0.000 0.000 0.000
Nd 0.623 0.246 0.387
Nd 0.377 0.754 0.613
Ce 0.325 0.650 0.216
Ce 0.675 0.350 0.784
CELL_PARAMETERS angstrom
-2.636 -2.698 2.033
-0.959 -0.095 -5.887
6.743 -6.121 0.621
```

=====

Arrangement two

Entry from Alexandria: a relaxed Ce2Nd3Ru4 crystal (PBE-GGA). Values from VASP.

The structure in Quantum ESPRESSO input format:
```
&SYSTEM
  ibrav = 0, nat = 18, ntyp = 3
/
ATOMIC_SPECIES
Ru 101.07 Ru.upf
Ce 140.12 Ce.upf
Nd 144.24 Nd.upf
ATOMIC_POSITIONS crystal
Ru 0.879 0.322 0.945
Ru 0.621 0.055 0.678
Ru 0.495 0.435 0.160
Ru 0.995 0.160 0.435
Ru 0.505 0.565 0.840
Ru 0.121 0.678 0.055
Ru 0.005 0.840 0.565
Ru 0.379 0.945 0.322
Ce 0.029 0.591 0.790
Ce 0.529 0.790 0.591
Ce 0.971 0.409 0.210
Ce 0.471 0.210 0.409
Nd 0.609 0.792 0.007
Nd 0.391 0.208 0.993
Nd 0.250 0.629 0.371
Nd 0.891 0.993 0.208
Nd 0.750 0.371 0.629
Nd 0.109 0.007 0.792
CELL_PARAMETERS angstrom
-3.849 4.686 0.609
-7.240 -4.333 2.829
-0.741 0.222 8.866
```

=====

Stability ranking, top entry: arrangement one; the second entry is 63 meV/atom less favorable.